A plane-wave DFT calculation with GGA+U was carried out for a relaxed structure of BaFeBr2O.

- Volume: 180 Å³ per cell
- Total energy: -3.567 eV per atom

```
BaFeBr2O
1.0
6.3318 0.0000 0.0000
0.0000 6.3318 0.0000
0.0000 0.0000 4.5007
Ba Fe Br O
1 1 2 1
Cartesian
0.0000 0.0000 0.0000 Ba
3.1659 3.1659 2.2504 Fe
0.0000 3.1659 0.0000 Br
3.1659 0.0000 0.0000 Br
0.0000 0.0000 2.2504 O
```